Entry 1:
The following is a PBE calculation of a relaxed MoI2Cl crystal, from the Alexandria database.

Values from the calculation:
SG: I-42d (122)
relative energy among the computed polymorphs: 0.000 eV per atom
uncorrected energy: -28.82 eV for the cell shown
total moment: 0.0 μB per formula unit

abc: 7.3903 7.3903 7.3903
angles: 119.83 119.83 90.30
Sites, in units of the cell vectors:
Mo 0.0000 0.0000 0.0000
Mo 0.7500 0.2500 0.5000
I 0.0500 0.6250 0.9250
I 0.3750 0.3000 0.4250
I 0.7000 0.1250 0.0750
I 0.8750 0.9500 0.5750
Cl 0.2500 0.7500 0.5000
Cl 0.5000 0.5000 0.0000

Entry 2:
The following is a PBE calculation of a relaxed Si2HgAu crystal, from the Alexandria database.

Values from the calculation:
SG: Cmmm (65)
uncorrected energy: -12.70 eV for the cell shown
total moment: 0.0 μB per formula unit

abc: 2.9582 2.9582 10.6769
angles: 90.00 90.00 123.00
Sites, in units of the cell vectors:
Si 0.0000 0.0000 0.2161
Si 0.0000 0.0000 0.7839
Hg 0.5000 0.5000 0.5000
Au 0.5000 0.5000 0.0000

Entry 3:
The following is a PBE calculation of a relaxed TiGePd crystal, from the Alexandria database.

Values from the calculation:
SG: P-62m (189)
ΔH_f (0 K): -0.6830 eV per atom
uncorrected energy: -59.26 eV for the cell shown
total moment: 0.0 μB per formula unit

abc: 6.6568 6.6568 3.7145
angles: 90.00 90.00 120.00
Sites, in units of the cell vectors:
Ti 0.0000 0.5884 0.0000
Ti 0.4116 0.4116 0.0000
Ti 0.5884 0.0000 0.0000
Ge 0.0000 0.0000 0.0000
Ge 0.3333 0.6667 0.5000
Ge 0.6667 0.3333 0.5000
Pd 0.0000 0.2602 0.5000
Pd 0.2602 0.0000 0.5000
Pd 0.7398 0.7398 0.5000

Entry 4:
The following is a PBE calculation of a relaxed SrFeRe crystal, from the Alexandria database.

Values from the calculation:
SG: F-43m (216)
relative energy among the computed polymorphs: 1.858 eV per atom
ΔH_f (0 K): 2.4519 eV per atom
uncorrected energy: -15.24 eV for the cell shown
total moment: 5.8 μB per formula unit

abc: 4.8125 4.8125 4.8125
angles: 60.00 60.00 60.00
Sites, in units of the cell vectors:
Sr 0.0000 0.0000 0.0000
Fe 0.2500 0.2500 0.2500
Re 0.7500 0.7500 0.7500

Entry 5:
The following is a PBE calculation of a relaxed HoTmGa4 crystal, from the Alexandria database.

Values from the calculation:
SG: F-43m (216)
relative energy among the computed polymorphs: 0.082 eV per atom
ΔH_f (0 K): -0.5321 eV per atom
uncorrected energy: -24.35 eV for the cell shown
total moment: 0.0 μB per formula unit

abc: 5.4757 5.4757 5.4757
angles: 60.00 60.00 60.00
Sites, in units of the cell vectors:
Ho 0.0000 0.0000 0.0000
Tm 0.7500 0.7500 0.7500
Ga 0.3750 0.3750 0.3750
Ga 0.3750 0.3750 0.8749
Ga 0.3750 0.8749 0.3750
Ga 0.8749 0.3750 0.3750

Entry 6:
The following is a PBE calculation of a relaxed FeAgAs2Br crystal, from the Alexandria database.

Values from the calculation:
SG: P4/mmm (123)
relative energy among the computed polymorphs: 0.783 eV per atom
uncorrected energy: -16.50 eV for the cell shown
total moment: 2.8 μB per formula unit

abc: 4.9893 4.9893 5.3200
angles: 90.00 90.00 90.00
Sites, in units of the cell vectors:
Fe 0.0000 0.0000 0.0000
Ag 0.5000 0.5000 0.5000
As 0.0000 0.5000 0.5000
As 0.5000 0.0000 0.5000
Br 0.5000 0.5000 0.0000

Entry 7:
The following is a PBE calculation of a relaxed Sr3Ce crystal, from the Alexandria database.

Values from the calculation:
SG: P6_3/mmc (194)
ΔH_f (0 K): 0.2853 eV per atom
uncorrected energy: -19.68 eV for the cell shown
total moment: 2.0 μB per formula unit

abc: 8.2023 8.2023 6.6476
angles: 90.00 90.00 120.00
Sites, in units of the cell vectors:
Sr 0.1712 0.3425 0.2500
Sr 0.1712 0.8288 0.2500
Sr 0.3425 0.1712 0.7500
Sr 0.6575 0.8288 0.2500
Sr 0.8288 0.1712 0.7500
Sr 0.8288 0.6575 0.7500
Ce 0.3333 0.6667 0.7500
Ce 0.6667 0.3333 0.2500

Entry 8:
The following is a PBE calculation of a relaxed SrMg3Ta crystal, from the Alexandria database.

Values from the calculation:
SG: Pm-3m (221)
relative energy among the computed polymorphs: 0.000 eV per atom
ΔH_f (0 K): 0.7868 eV per atom
uncorrected energy: -14.38 eV for the cell shown
total moment: 3.1 μB per formula unit

abc: 5.4711 5.4711 5.4711
angles: 90.00 90.00 90.00
Sites, in units of the cell vectors:
Sr 0.0000 0.0000 0.0000
Mg 0.0000 0.5000 0.5000
Mg 0.5000 0.0000 0.5000
Mg 0.5000 0.5000 0.0000
Ta 0.5000 0.5000 0.5000

Entry 9:
The following is a PBE calculation of a relaxed AcSiOs2C crystal, from the Alexandria database.

Values from the calculation:
SG: Cmcm (63)
uncorrected energy: -85.71 eV for the cell shown
total moment: 0.0 μB per formula unit

abc: 6.0066 6.0066 7.2897
angles: 90.00 90.00 139.57
Sites, in units of the cell vectors:
Ac 0.0513 0.9487 0.7500
Ac 0.9487 0.0513 0.2500
Si 0.2293 0.7707 0.2500
Si 0.7707 0.2293 0.7500
Os 0.3343 0.6657 0.5604
Os 0.3343 0.6657 0.9396
Os 0.6657 0.3343 0.0604
Os 0.6657 0.3343 0.4396
C 0.5000 0.5000 0.0000
C 0.5000 0.5000 0.5000

Entry 10:
The following is a PBE calculation of a relaxed CoAsAu crystal, from the Alexandria database.

Values from the calculation:
SG: P-6m2 (187)
ΔH_f (0 K): 0.1197 eV per atom
uncorrected energy: -14.67 eV for the cell shown
total moment: 0.0 μB per formula unit

abc: 3.9469 3.9469 3.4940
angles: 90.00 90.00 120.00
Sites, in units of the cell vectors:
Co 0.0000 0.0000 0.0000
As 0.6667 0.3333 0.0000
Au 0.3333 0.6667 0.5000

Entry 11:
The following is a PBE calculation of a relaxed PuMnCoCu crystal, from the Alexandria database.

Values from the calculation:
SG: F-43m (216)
ΔH_f (0 K): 0.0886 eV per atom
uncorrected energy: -34.35 eV for the cell shown
total moment: 1.9 μB per formula unit

abc: 4.3529 4.3529 4.3529
angles: 60.00 60.00 60.00
Sites, in units of the cell vectors:
Pu 0.0000 0.0000 0.0000
Mn 0.2500 0.2500 0.2500
Co 0.7500 0.7500 0.7500
Cu 0.5000 0.5000 0.5000

Entry 12:
The following is a PBE calculation of a relaxed ScAlCl2 crystal, from the Alexandria database.

Values from the calculation:
SG: Imm2 (44)
relative energy among the computed polymorphs: 0.201 eV per atom
uncorrected energy: -17.09 eV for the cell shown
total moment: 0.0 μB per formula unit

abc: 7.1211 7.1211 7.1211
angles: 153.72 141.24 47.43
Sites, in units of the cell vectors:
Sc 0.0000 0.0000 0.0000
Al 0.8212 0.3212 0.5000
Cl 0.1527 0.6527 0.5000
Cl 0.4572 0.4572 0.0000

Entry 13:
The following is a PBE calculation of a relaxed LiGaIN2 crystal, from the Alexandria database.

Values from the calculation:
SG: P4/mmm (123)
relative energy among the computed polymorphs: 0.000 eV per atom
uncorrected energy: -19.43 eV for the cell shown
total moment: 2.3 μB per formula unit

abc: 3.8797 3.8797 7.0982
angles: 90.00 90.00 90.00
Sites, in units of the cell vectors:
Li 0.0000 0.0000 0.0000
Ga 0.5000 0.5000 0.5000
I 0.5000 0.5000 0.0000
N 0.0000 0.5000 0.5000
N 0.5000 0.0000 0.5000

Entry 14:
The following is a PBE calculation of a relaxed U2Si4Mo3 crystal, from the Alexandria database.

Values from the calculation:
SG: P2_1/c (14)
uncorrected energy: -161.43 eV for the cell shown
total moment: 3.7 μB per formula unit

abc: 6.8858 6.9043 6.7457
angles: 90.00 109.84 90.00
Sites, in units of the cell vectors:
U 0.1856 0.1643 0.0564
U 0.1856 0.3357 0.5564
U 0.8144 0.6643 0.4436
U 0.8144 0.8357 0.9436
Si 0.0903 0.5444 0.8708
Si 0.0903 0.9556 0.3708
Si 0.4979 0.6331 0.6332
Si 0.4979 0.8669 0.1332
Si 0.5021 0.1331 0.8668
Si 0.5021 0.3669 0.3668
Si 0.9097 0.0444 0.6292
Si 0.9097 0.4556 0.1292
Mo 0.2438 0.6631 0.2538
Mo 0.2438 0.8369 0.7538
Mo 0.5000 0.0000 0.5000
Mo 0.5000 0.5000 0.0000
Mo 0.7562 0.1631 0.2462
Mo 0.7562 0.3369 0.7462

Entry 15:
The following is a PBE calculation of a relaxed NaCeAl crystal, from the Alexandria database.

Values from the calculation:
SG: Amm2 (38)
ΔH_f (0 K): 0.1174 eV per atom
uncorrected energy: -21.29 eV for the cell shown
total moment: 0.2 μB per formula unit

abc: 17.6328 3.0954 3.0954
angles: 60.01 90.00 90.00
Sites, in units of the cell vectors:
Na 0.1577 0.0000 0.0000
Na 0.8423 0.0000 0.0000
Ce 0.3499 0.3268 0.3268
Ce 0.6501 0.3268 0.3268
Al 0.0000 0.3359 0.3359
Al 0.5000 0.9933 0.9933

Entry 16:
The following is a PBE calculation of a relaxed LaYSc2Co crystal, from the Alexandria database.

Values from the calculation:
SG: P4/mmm (123)
relative energy among the computed polymorphs: 0.000 eV per atom
ΔH_f (0 K): -0.0718 eV per atom
uncorrected energy: -31.52 eV for the cell shown
total moment: 0.0 μB per formula unit

abc: 5.0448 5.0448 5.2384
angles: 90.00 90.00 90.00
Sites, in units of the cell vectors:
La 0.0000 0.0000 0.0000
Y 0.5000 0.5000 0.0000
Sc 0.0000 0.5000 0.5000
Sc 0.5000 0.0000 0.5000
Co 0.5000 0.5000 0.5000

Entry 17:
The following is a PBE calculation of a relaxed LiAlC crystal, from the Alexandria database.

Values from the calculation:
SG: Pnma (62)
ΔH_f (0 K): -0.1369 eV per atom
uncorrected energy: -61.16 eV for the cell shown
total moment: 0.0 μB per formula unit

abc: 6.9601 3.4714 5.0332
angles: 90.00 90.00 90.00
Sites, in units of the cell vectors:
Li 0.0995 0.2500 0.0461
Li 0.4005 0.7500 0.5461
Li 0.5995 0.2500 0.4539
Li 0.9005 0.7500 0.9539
Al 0.1424 0.2500 0.5400
Al 0.3576 0.7500 0.0400
Al 0.6424 0.2500 0.9600
Al 0.8576 0.7500 0.4600
C 0.1333 0.7500 0.3038
C 0.3667 0.2500 0.8038
C 0.6333 0.7500 0.1962
C 0.8667 0.2500 0.6962

Entry 18:
The following is a PBE calculation of a relaxed Ca3C crystal, from the Alexandria database.

Values from the calculation:
SG: Imm2 (44)
relative energy among the computed polymorphs: 0.048 eV per atom
ΔH_f (0 K): 0.2943 eV per atom
uncorrected energy: -14.05 eV for the cell shown
total moment: 0.5 μB per formula unit

abc: 6.4701 6.4701 6.4701
angles: 148.69 69.37 119.86
Sites, in units of the cell vectors:
Ca 0.0000 0.0000 0.0000
Ca 0.2729 0.4207 0.8522
Ca 0.5685 0.4207 0.1478
C 0.2776 0.7776 0.5000

Entry 19:
The following is a PBE calculation of a relaxed PuPtRhAu crystal, from the Alexandria database.

Values from the calculation:
SG: F-43m (216)
relative energy among the computed polymorphs: 0.085 eV per atom
ΔH_f (0 K): -0.4281 eV per atom
uncorrected energy: -32.71 eV for the cell shown
total moment: 4.5 μB per formula unit

abc: 4.7048 4.7048 4.7048
angles: 60.00 60.00 60.00
Sites, in units of the cell vectors:
Pu 0.0000 0.0000 0.0000
Pt 0.2500 0.2500 0.2500
Rh 0.7500 0.7500 0.7500
Au 0.5000 0.5000 0.5000

Entry 20:
The following is a PBE calculation of a relaxed La3InGe crystal, from the Alexandria database.

Values from the calculation:
SG: Fmm2 (42)
relative energy among the computed polymorphs: 0.000 eV per atom
ΔH_f (0 K): -0.6146 eV per atom
uncorrected energy: -201.69 eV for the cell shown
total moment: 0.0 μB per formula unit

abc: 11.9730 11.9141 12.3336
angles: 59.15 58.68 62.17
Sites, in units of the cell vectors:
La 0.0000 0.0000 0.0000
La 0.0173 0.4108 0.2187
La 0.0176 0.6827 0.3173
La 0.0449 0.9222 0.7154
La 0.1382 0.2763 0.4935
La 0.1775 0.7859 0.4488
La 0.1793 0.5174 0.8207
La 0.2144 0.2144 0.7856
La 0.2763 0.1382 0.0921
La 0.2846 0.6825 0.9551
La 0.4108 0.0173 0.3531
La 0.4123 0.5512 0.2141
La 0.4873 0.4873 0.5127
La 0.5065 0.9079 0.8618
La 0.5174 0.1793 0.4826
La 0.5512 0.4123 0.8225
La 0.6469 0.7813 0.5892
La 0.6825 0.2846 0.0778
La 0.6827 0.0176 0.9824
La 0.7068 0.7068 0.2932
La 0.7813 0.6469 0.9827
La 0.7859 0.1775 0.5877
La 0.9079 0.5065 0.7237
La 0.9222 0.0449 0.3175
In 0.3164 0.9704 0.6836
In 0.3464 0.3464 0.1536
In 0.3752 0.7267 0.6248
In 0.4703 0.8169 0.1831
In 0.7267 0.3752 0.2733
In 0.8169 0.4703 0.5297
In 0.8464 0.8464 0.6536
In 0.9704 0.3164 0.0296
Ge 0.0976 0.0976 0.4024
Ge 0.2223 0.8662 0.1338
Ge 0.2252 0.4707 0.5293
Ge 0.4707 0.2252 0.7748
Ge 0.5976 0.5976 0.9024
Ge 0.7308 0.9706 0.2692
Ge 0.8662 0.2223 0.7777
Ge 0.9706 0.7308 0.0294

Entry 21:
The following is a PBE calculation of a relaxed LaPr5Ir4 crystal, from the Alexandria database.

Values from the calculation:
SG: C2/m (12)
ΔH_f (0 K): -0.5303 eV per atom
uncorrected energy: -69.57 eV for the cell shown
total moment: 0.0 μB per formula unit

abc: 9.7239 9.7239 7.7670
angles: 113.46 113.46 25.78
Sites, in units of the cell vectors:
La 0.0000 0.0000 0.0000
Pr 0.0000 0.0000 0.5000
Pr 0.3347 0.3347 0.0771
Pr 0.3346 0.3346 0.5924
Pr 0.6654 0.6654 0.4076
Pr 0.6653 0.6653 0.9229
Ir 0.1997 0.1997 0.1996
Ir 0.5001 0.5001 0.2523
Ir 0.4999 0.4999 0.7477
Ir 0.8003 0.8003 0.8004

Entry 22:
The following is a PBE calculation of a relaxed KSr2PaSe5 crystal, from the Alexandria database.

Values from the calculation:
SG: Immm (71)
uncorrected energy: -45.97 eV for the cell shown
total moment: 0.0 μB per formula unit

abc: 8.8232 8.8232 8.8232
angles: 144.37 127.77 64.83
Sites, in units of the cell vectors:
K 0.0000 0.0000 0.0000
Sr 0.2907 0.7907 0.5000
Sr 0.7093 0.2093 0.5000
Pa 0.5000 0.5000 0.0000
Se 0.1237 0.3625 0.7612
Se 0.3987 0.6375 0.7612
Se 0.5000 0.0000 0.5000
Se 0.6013 0.3625 0.2388
Se 0.8763 0.6375 0.2388

Entry 23:
The following is a PBE calculation of a relaxed NpCu2HgI8 crystal, from the Alexandria database.

Values from the calculation:
SG: C2/m (12)
uncorrected energy: -37.74 eV for the cell shown
total moment: 3.0 μB per formula unit

abc: 7.4087 7.4087 11.6625
angles: 111.28 111.28 69.39
Sites, in units of the cell vectors:
Np 0.0000 0.0000 0.0000
Cu 0.2900 0.2900 0.8046
Cu 0.7100 0.7100 0.1954
Hg 0.5000 0.5000 0.5000
I 0.1322 0.1322 0.5662
I 0.1617 0.6629 0.7919
I 0.2479 0.2479 0.0028
I 0.3371 0.8383 0.2081
I 0.6629 0.1617 0.7919
I 0.7521 0.7521 0.9972
I 0.8383 0.3371 0.2081
I 0.8678 0.8678 0.4338

Entry 24:
The following is a PBE calculation of a relaxed HfTe3S crystal, from the Alexandria database.

Values from the calculation:
SG: Pm-3m (221)
relative energy among the computed polymorphs: 0.000 eV per atom
uncorrected energy: -22.04 eV for the cell shown
total moment: 1.7 μB per formula unit

abc: 5.5246 5.5246 5.5246
angles: 90.00 90.00 90.00
Sites, in units of the cell vectors:
Hf 0.0000 0.0000 0.0000
Te 0.0000 0.0000 0.5000
Te 0.0000 0.5000 0.0000
Te 0.5000 0.0000 0.0000
S 0.5000 0.5000 0.5000